Here is a relaxed structure of Na2TaSb2S6 from Alexandria via LeMat-Bulk. Energies are from PBE-GGA.

It has space group C2/m (No. 12), with a = 6.863 Å, b = 11.566 Å, c = 7.051 Å, α = 90.00°, β = 109.39° and γ = 90.00°. The asymmetric unit holds Na at (0.000, 0.171, 0.000), Ta at (0.000, 0.000, 0.500), Sb at (0.000, 0.332, 0.500), S at (0.225, 0.156, 0.712) and S at (0.226, 0.000, 0.289).

The calculated total energy comes out at -5.019 eV per atom. The uncorrected formation energy comes out at -7.71 eV per formula unit.

Here is a relaxed structure of Na3Tb3SbS8 from Alexandria via LeMat-Bulk. Energies are from PBE-GGA.

It has space group R-3m (No. 166, hexagonal axes), with a = 7.9482 Å, b = 7.9482 Å, c = 20.2096 Å, α = 90.00°, β = 90.00° and γ = 120.00°. The asymmetric unit holds Na at (0.0000, 0.5000, 0.0000), Tb at (0.0000, 0.5000, 0.5000), Sb at (0.0000, 0.0000, 0.5000), S at (0.0000, 0.0000, 0.2421) and S at (0.0128, 0.5064, 0.2400).

The calculated total energy comes out at -5.161 eV per atom. The uncorrected formation energy comes out at -22.42 eV per formula unit.

Here is a relaxed structure of Na3TbSb2S6 from Alexandria via LeMat-Bulk. Energies are from PBE-GGA.

It has space group C2/m (No. 12), with a = 6.936 Å, b = 12.017 Å, c = 7.092 Å, α = 90.00°, β = 109.01° and γ = 90.00°. The asymmetric unit holds Na at (0.000, 0.000, 0.000), Na at (0.000, 0.329, 0.000), Tb at (0.000, 0.500, 0.500), Sb at (0.000, 0.166, 0.500), S at (0.242, 0.334, 0.728) and S at (0.244, 0.000, 0.729).

The calculated total energy comes out at -4.517 eV per atom. The uncorrected formation energy comes out at -12.60 eV per formula unit.

Here is a relaxed structure of Na2TbSbS4 from Alexandria via LeMat-Bulk. Energies are from PBE-GGA.

It has space group P2/m (No. 10), with a = 6.963 Å, b = 3.997 Å, c = 7.075 Å, α = 90.00°, β = 108.96° and γ = 90.00°. The asymmetric unit holds Na at (0.000, 0.000, 0.000), Na at (0.500, 0.500, 0.000), Tb at (0.000, 0.500, 0.500), Sb at (0.500, 0.000, 0.500), S at (0.242, 0.000, 0.727) and S at (0.256, 0.500, 0.271).

The calculated total energy comes out at -4.737 eV per atom. The uncorrected formation energy comes out at -9.99 eV per formula unit.

Here is a relaxed structure of Na4Tb3SbS8 from Alexandria via LeMat-Bulk. Energies are from PBE-GGA.

It has space group R-3m (No. 166, hexagonal axes), with a = 8.0170 Å, b = 8.0170 Å, c = 20.0395 Å, α = 90.00°, β = 90.00° and γ = 120.00°. The asymmetric unit holds Na at (0.0000, 0.0000, 0.0000), Na at (0.0000, 0.5000, 0.0000), Tb at (0.0000, 0.5000, 0.5000), Sb at (0.0000, 0.0000, 0.5000), S at (0.0000, 0.0000, 0.2424) and S at (0.9999, 0.4999, 0.2425).

The calculated total energy comes out at -5.068 eV per atom. The uncorrected formation energy comes out at -24.77 eV per formula unit.

Here is a relaxed structure of Na3Tb2SbS6 from Alexandria via LeMat-Bulk. Energies are from PBE-GGA.

It has space group C2/m (No. 12), with a = 6.944 Å, b = 12.028 Å, c = 7.067 Å, α = 90.00°, β = 109.10° and γ = 90.00°. The asymmetric unit holds Na at (0.000, 0.000, 0.000), Na at (0.000, 0.336, 0.000), Tb at (0.000, 0.167, 0.500), Sb at (0.000, 0.500, 0.500), S at (0.242, 0.000, 0.727) and S at (0.243, 0.333, 0.728).

The calculated total energy comes out at -4.959 eV per atom. The uncorrected formation energy comes out at -17.40 eV per formula unit.

Here is a relaxed structure of Na2SbTeS4 from Alexandria via LeMat-Bulk. Energies are from PBE-GGA.

It has space group P1 (No. 1), with a = 5.760 Å, b = 5.988 Å, c = 7.007 Å, α = 114.75°, β = 112.44° and γ = 90.65°. The asymmetric unit holds Na at (0.000, 0.000, 0.000), Na at (0.249, 0.758, 0.493), Sb at (0.701, 0.228, 0.447), Te at (0.484, 0.519, 0.015), S at (0.058, 0.490, 0.991), S at (0.303, 0.268, 0.508), S at (0.503, 0.997, 0.011) and S at (0.729, 0.797, 0.453).

The calculated total energy comes out at -3.839 eV per atom. The uncorrected formation energy comes out at -4.30 eV per formula unit.

Here is a relaxed structure of NaSbTe2S6 from Alexandria via LeMat-Bulk. Energies are from PBE-GGA.

It has space group R3 (No. 146, hexagonal axes), with a = 6.7941 Å, b = 6.7941 Å, c = 21.0057 Å, α = 90.00°, β = 90.00° and γ = 120.00°. The asymmetric unit holds Na at (0.0000, 0.0000, 0.0000), Sb at (0.0000, 0.0000, 0.4790), Te at (0.0000, 0.0000, 0.2718), Te at (0.0000, 0.0000, 0.7976), S at (0.0062, 0.3992, 0.0693) and S at (0.0094, 0.6428, 0.5632).

The calculated total energy comes out at -3.836 eV per atom. The uncorrected formation energy comes out at -1.87 eV per formula unit.

Here is a relaxed structure of NaSb2TeS from Alexandria via LeMat-Bulk. Energies are from PBE-GGA.

It has space group P4/mmm (No. 123), with a = 5.452 Å, b = 5.452 Å, c = 5.242 Å, α = 90.00°, β = 90.00° and γ = 90.00°. The asymmetric unit holds Na at (0.000, 0.000, 0.000), Sb at (0.000, 0.500, 0.000), Te at (0.000, 0.000, 0.500) and S at (0.500, 0.500, 0.500).

The calculated total energy comes out at -2.360 eV per atom. The uncorrected formation energy comes out at 5.03 eV per formula unit. The relative energy among the computed polymorphs comes out at 792.8 meV per atom.

Here is a relaxed structure of NaSb2TeS from Alexandria via LeMat-Bulk. Energies are from PBE-GGA.

It has space group P4/mmm (No. 123), with a = 5.299 Å, b = 5.299 Å, c = 5.422 Å, α = 90.00°, β = 90.00° and γ = 90.00°. The asymmetric unit holds Na at (0.000, 0.000, 0.000), Sb at (0.000, 0.500, 0.500), Te at (0.500, 0.500, 0.000) and S at (0.500, 0.500, 0.500).

The calculated total energy comes out at -3.153 eV per atom. The uncorrected formation energy comes out at 1.07 eV per formula unit. The relative energy among the computed polymorphs comes out at 0.0 meV per atom.

Here is a relaxed structure of NaSbTeS from Alexandria via LeMat-Bulk. Energies are from PBE-GGA.

It has space group R3m (No. 160, hexagonal axes), with a = 4.1980 Å, b = 4.1980 Å, c = 21.7286 Å, α = 90.00°, β = 90.00° and γ = 120.00°. The asymmetric unit holds Na at (0.0000, 0.0000, 0.0000), Sb at (0.0000, 0.0000, 0.4756), Te at (0.0000, 0.0000, 0.2268) and S at (0.0000, 0.0000, 0.7400).

The calculated total energy comes out at -3.717 eV per atom. The uncorrected formation energy comes out at -2.16 eV per formula unit.

Here is a relaxed structure of Na2ThSbS4 from Alexandria via LeMat-Bulk. Energies are from PBE-GGA.

It has space group P2/m (No. 10), with a = 7.300 Å, b = 4.053 Å, c = 7.884 Å, α = 90.00°, β = 116.93° and γ = 90.00°. The asymmetric unit holds Na at (0.000, 0.000, 0.000), Na at (0.000, 0.500, 0.500), Th at (0.500, 0.000, 0.500), Sb at (0.500, 0.500, 0.000), S at (0.234, 0.500, 0.286) and S at (0.306, 0.000, 0.738).

The calculated total energy comes out at -4.984 eV per atom. The uncorrected formation energy comes out at -9.18 eV per formula unit.